(1)
{
  "formula": "KLaHg2",
  "functional": "GGA-PBE",
  "state": "relaxed",
  "final_energy_ev_per_atom": -1.990,
  "formation_energy_ev_per_atom": -0.33,
  "m_tot_mub_per_fu": 0.2,
  "lattice_angstrom": [[3.997, 0.000, 0.000], [0.000, 3.890, -0.011], [0.000, 3.922, 8.461]],
  "species": ["Hg", "Hg", "La", "K"],
  "fractional_positions": [[0.000, 0.036, 0.964], [0.000, 0.464, 0.536], [0.500, 0.750, 0.750], [0.500, 0.250, 0.250]]
}

(2)
{
  "formula": "KLaHg2",
  "functional": "GGA-PBE",
  "state": "relaxed",
  "final_energy_ev_per_atom": -1.809,
  "formation_energy_ev_per_atom": -0.15,
  "m_tot_mub_per_fu": 0.0,
  "lattice_angstrom": [[-1.758, 3.950, 0.734], [-3.817, -1.892, 1.039], [2.079, -0.368, 6.965]],
  "species": ["La", "Hg", "Hg", "K"],
  "fractional_positions": [[0.500, 0.500, 0.830], [0.000, 0.000, 0.964], [0.500, 0.500, 0.267], [0.000, 0.000, 0.439]]
}

(3)
{
  "formula": "K2LaHg",
  "functional": "GGA-PBE",
  "state": "relaxed",
  "final_energy_ev_per_atom": -1.736,
  "formation_energy_ev_per_atom": 0.12,
  "m_tot_mub_per_fu": 0.0,
  "lattice_angstrom": [[8.081, 0.040, 0.004], [4.297, 6.844, -0.004], [-5.199, -5.223, 3.317]],
  "species": ["Hg", "La", "K", "K"],
  "fractional_positions": [[0.262, 0.762, 0.500], [0.437, 0.437, 0.000], [0.052, 0.052, 0.000], [0.748, 0.248, 0.500]]
}

(4)
{
  "formula": "KLa2Hg2",
  "functional": "GGA-PBE",
  "state": "relaxed",
  "final_energy_ev_per_atom": -2.434,
  "formation_energy_ev_per_atom": -0.12,
  "m_tot_mub_per_fu": 0.0,
  "polymorph_energy_ev_per_fu": 0.590,
  "lattice_angstrom": [[-2.399, 3.714, 2.122], [-2.170, 1.039, -4.273], [-7.941, -2.273, 0.667]],
  "species": ["K", "La", "La", "Hg", "Hg"],
  "fractional_positions": [[0.000, 0.000, 0.000], [0.250, 0.750, 0.500], [0.750, 0.250, 0.500], [0.599, 0.599, 0.802], [0.401, 0.401, 0.198]]
}

(5)
{
  "formula": "K2LaHg",
  "functional": "GGA-PBE",
  "state": "relaxed",
  "final_energy_ev_per_atom": -1.715,
  "formation_energy_ev_per_atom": 0.14,
  "m_tot_mub_per_fu": 0.0,
  "lattice_angstrom": [[-2.794, 2.210, 1.270], [0.902, -2.797, 2.380], [8.663, 7.664, 5.723]],
  "species": ["K", "K", "Hg", "La"],
  "fractional_positions": [[0.000, 0.000, 0.531], [0.000, 0.000, 0.969], [0.500, 0.500, 0.750], [0.500, 0.500, 0.250]]
}

(6)
{
  "formula": "K2LaHg",
  "functional": "GGA-PBE",
  "state": "relaxed",
  "final_energy_ev_per_atom": -1.688,
  "formation_energy_ev_per_atom": 0.17,
  "m_tot_mub_per_fu": 1.5,
  "lattice_angstrom": [[7.518, -0.014, 0.000], [4.394, 6.100, 0.000], [-5.956, -3.043, 3.433]],
  "species": ["La", "Hg", "K", "K"],
  "fractional_positions": [[0.250, 0.750, 0.500], [0.750, 0.250, 0.500], [0.000, 0.000, 0.000], [0.500, 0.500, 0.000]]
}

(7)
{
  "formula": "K2La2Hg",
  "functional": "GGA-PBE",
  "state": "relaxed",
  "final_energy_ev_per_atom": -2.273,
  "formation_energy_ev_per_atom": 0.20,
  "m_tot_mub_per_fu": 0.0,
  "lattice_angstrom": [[-3.397, -7.140, -1.155], [4.928, -1.351, -6.143], [4.658, -2.925, 4.379]],
  "species": ["K", "K", "K", "K", "La", "La", "La", "La", "Hg", "Hg"],
  "fractional_positions": [[0.192, 0.692, 0.500], [0.692, 0.808, 0.500], [0.808, 0.308, 0.500], [0.308, 0.192, 0.500], [0.132, 0.368, 0.000], [0.868, 0.632, 0.000], [0.368, 0.868, 0.000], [0.632, 0.132, 0.000], [0.000, 0.000, 0.000], [0.500, 0.500, 0.000]]
}

(8)
{
  "formula": "KLa2Hg2",
  "functional": "GGA-PBE",
  "state": "relaxed",
  "final_energy_ev_per_atom": -2.552,
  "formation_energy_ev_per_atom": -0.24,
  "m_tot_mub_per_fu": 0.0,
  "polymorph_energy_ev_per_fu": 0.000,
  "lattice_angstrom": [[-4.544, 2.575, 7.998], [-0.412, -9.150, 2.712], [3.147, 0.354, 1.674]],
  "species": ["Hg", "Hg", "Hg", "Hg", "La", "La", "La", "La", "K", "K"],
  "fractional_positions": [[0.173, 0.673, 0.500], [0.827, 0.327, 0.500], [0.327, 0.173, 0.500], [0.673, 0.827, 0.500], [0.621, 0.121, 0.000], [0.121, 0.379, 0.000], [0.879, 0.621, 0.000], [0.379, 0.879, 0.000], [0.000, 0.000, 0.000], [0.500, 0.500, 0.000]]
}